First-principles (PBE) data for an optimized crystal structure of K2NbPO6, as listed in Alexandria.

The structure in extended XYZ format:
```
10
Lattice="0.000 3.798 3.798 3.798 0.000 3.798 3.798 3.798 0.000" Properties=species:S:1:pos:R:3 pbc="T T T"
K 1.899 1.899 1.899
K 5.698 5.698 5.698
Nb 0.000 0.000 0.000
P 3.798 3.798 3.798
O 3.798 3.798 2.041
O 3.798 2.041 3.798
O 5.556 3.798 3.798
O 2.041 3.798 3.798
O 3.798 5.556 3.798
O 3.798 3.798 5.556
```

Summary:
Size of the total moment in μB per formula unit: 0.0
Final energy in Ry per atom: -0.4959